8
Lattice="-3.0433 3.0433 3.5516 3.0433 -3.0433 3.5516 3.0433 3.0433 -3.5516" Properties=species:S:1:pos:R:3 comment="Zr4SiC2N PBE relaxed" raw_formation_energy_ev_per_atom=-0.47 total_magnetization_mub_per_atom=0.000 pbc="T T T"
Zr 1.8043 1.8043 -1.2116
Zr 1.2390 -1.2390 4.7632
Zr 1.2390 1.2390 2.3400
Zr -1.2390 1.2390 4.7632
Si 0.0000 0.0000 0.0000
C 3.0433 0.0000 1.7758
C 0.0000 3.0433 1.7758
N 0.0000 0.0000 3.5516



11
Lattice="8.5839 -2.5289 0.0000 8.5839 2.5289 0.0000 -2.7241 0.0000 6.6613" Properties=species:S:1:pos:R:3 comment="Na8AsAu2 PBE relaxed" formation_energy_kcal_per_mol_atoms=-6.1 total_magnetization_mub_per_atom=0.000 pbc="T T T"
Na -0.4124 0.0000 1.9309
Na 1.2364 0.0000 5.1680
Na 4.2689 0.0000 3.7486
Na 6.6543 0.0000 0.4369
Na 7.7895 0.0000 6.2245
Na 10.1748 0.0000 2.9128
Na 13.2073 0.0000 1.4934
Na 14.8561 0.0000 4.7305
As 7.2219 0.0000 3.3307
Au 2.5817 0.0000 1.2141
Au 11.8621 0.0000 5.4473



4
Lattice="2.9683 0.0000 0.0000 0.0000 2.9683 0.0000 0.0000 0.0000 5.7006" Properties=species:S:1:pos:R:3 comment="BeRe2Ni PBE relaxed" formation_energy_kcal_per_mol_atoms=0.4 total_magnetization_mub_per_atom=0.000 pbc="T T T"
Be 0.0000 0.0000 0.0000
Re 0.0000 0.0000 2.7350
Re 1.4841 1.4841 4.2384
Ni 1.4841 1.4841 1.0817



20
Lattice="9.3126 0.0000 0.0000 0.0000 10.0434 0.0000 0.0000 0.0000 7.6575" Properties=species:S:1:pos:R:3 comment="CeSm5Te4 PBE relaxed" raw_formation_energy_ev_per_atom=-0.80 total_magnetization_mub_per_atom=0.120 pbc="T T T"
Ce 2.3282 2.5109 1.0700
Ce 6.9845 7.5326 6.5875
Sm 0.4677 0.5813 5.8160
Sm 0.4677 4.4405 5.8160
Sm 2.3282 7.5326 5.9541
Sm 4.1886 0.5813 5.8160
Sm 4.1886 4.4405 5.8160
Sm 5.1240 5.6030 1.8415
Sm 5.1240 9.4622 1.8415
Sm 6.9845 2.5109 1.7034
Sm 8.8449 5.6030 1.8415
Sm 8.8449 9.4622 1.8415
Te 0.2014 2.5109 3.3699
Te 2.3282 5.4951 0.5270
Te 2.3282 9.5700 0.5270
Te 4.4549 2.5109 3.3699
Te 4.8577 7.5326 4.2876
Te 6.9845 0.4734 7.1305
Te 6.9845 4.5483 7.1305
Te 9.1112 7.5326 4.2876



32
Lattice="8.2451 0.0000 0.0000 0.0000 15.4369 0.0000 0.0000 0.0000 6.2708" Properties=species:S:1:pos:R:3 comment="Sr3Ga2Pd3 PBE relaxed" formation_energy_kcal_per_mol_atoms=-16.1 de_polymorph_mev_per_atom=0.0 total_magnetization_mub_per_atom=0.000 pbc="T T T"
Sr 0.2150 1.6377 0.8965
Sr 0.2150 6.0807 0.8965
Sr 1.3696 3.8592 3.8278
Sr 2.7529 11.5777 0.6924
Sr 3.9075 9.3562 4.0319
Sr 3.9075 13.7992 4.0319
Sr 4.3375 1.6377 2.2389
Sr 4.3375 6.0807 2.2389
Sr 5.4922 3.8592 5.5784
Sr 6.8754 11.5777 2.4430
Sr 8.0301 9.3562 5.3742
Sr 8.0301 13.7992 5.3742
Ga 1.0949 9.2082 2.3160
Ga 1.0949 13.9471 2.3160
Ga 3.0277 1.4898 5.4514
Ga 3.0277 6.2287 5.4514
Ga 5.2174 9.2082 0.8194
Ga 5.2174 13.9471 0.8194
Ga 7.1502 1.4898 3.9548
Ga 7.1502 6.2287 3.9548
Pd 1.3129 0.6177 3.7954
Pd 1.3129 7.1008 3.7954
Pd 1.5040 11.5777 3.5256
Pd 2.6185 3.8592 0.3902
Pd 2.8096 8.3361 0.6600
Pd 2.8096 14.8192 0.6600
Pd 5.4355 0.6177 5.6108
Pd 5.4355 7.1008 5.6108
Pd 5.6266 11.5777 5.8806
Pd 6.7410 3.8592 2.7452
Pd 6.9321 8.3361 2.4754
Pd 6.9321 14.8192 2.4754



6
Lattice="0.0000 3.6695 3.6695 3.6695 0.0000 3.6695 3.6695 3.6695 0.0000" Properties=species:S:1:pos:R:3 comment="FeAsIr4 PBE relaxed" formation_energy_kcal_per_mol_atoms=13.4 total_magnetization_mub_per_atom=0.731 pbc="T T T"
Fe 0.0000 0.0000 0.0000
As 5.5042 5.5042 5.5042
Ir 2.7505 2.7505 2.7505
Ir 4.5885 4.5885 2.7505
Ir 4.5885 2.7505 4.5885
Ir 2.7505 4.5885 4.5885



12
Lattice="7.3576 -2.9345 0.0000 7.3576 2.9345 0.0000 -4.9612 0.0000 8.2961" Properties=species:S:1:pos:R:3 comment="Ho7ThTl4 PBE relaxed" formation_energy_kcal_per_mol_atoms=0.6 total_magnetization_mub_per_atom=0.000 pbc="T T T"
Ho 0.0000 0.0000 0.0000
Ho 0.1067 0.0000 5.7592
Ho 3.8346 0.0000 0.9863
Ho 3.4017 0.0000 4.9576
Ho 6.3524 0.0000 3.3384
Ho 5.9195 0.0000 7.3098
Ho 9.6474 0.0000 2.5369
Th 7.3576 0.0000 0.0000
Tl -2.8689 0.0000 5.8744
Tl 1.1028 0.0000 2.7948
Tl 8.6513 0.0000 5.5013
Tl 12.6230 0.0000 2.4217